Crystalline Y2ZnRu at its relaxed geometry, computed with GGA-PBEsol.

a b c (Å): 3.396 4.465 5.680
angles (deg): 90.00 90.00 90.00
Positions (direct):
Ru 0.500 0.500 0.823
Y 0.000 0.000 0.924
Y 0.500 0.500 0.310
Zn 0.000 0.000 0.443

Calculated values
SG: Pmm2 (25)
Formation enthalpy at 0 K (eV per formula unit): 0.05